No. 1
Density functional theory data (PBE) for a geometry-optimized CeDy2O structure.

a = 3.3850 Å, b = 3.3850 Å, c = 9.5425 Å
α = 79.78°, β = 79.78°, γ = 60.00°
Last column: nearest neighbours and their distance in Å.
Fractional coordinates of all 4 atoms:
Dy 0.8825 0.8825 0.3526  3 O 2.39
Dy 0.1175 0.1175 0.6474  3 O 2.39
O 0.5000 0.5000 0.5000  6 Dy 2.39
Ce 0.0000 0.0000 0.0000  2 Dy 3.29, 6 Ce 3.38

Calculated values
Space-group type = R-3m
Formation energy without anion corrections = -1.185 eV/atom
Density = 8620 kg/m³

=====

No. 2
Density functional theory data (PBE) for a geometry-optimized CaTb2Eu structure.

a = 5.3946 Å, b = 5.1390 Å, c = 5.1390 Å
α = 90.00°, β = 90.00°, γ = 90.00°
Last column: nearest neighbours and their distance in Å.
Fractional coordinates of all 4 atoms:
Ca 0.5000 0.5000 0.5000  4 Eu 3.63, 8 Tb 3.73
Tb 0.0000 0.0000 0.5000  4 Tb 3.63, 4 Ca 3.73, 4 Eu 3.73
Tb 0.0000 0.5000 0.0000  4 Tb 3.63, 4 Ca 3.73, 4 Eu 3.73
Eu 0.5000 0.0000 0.0000  4 Ca 3.63, 8 Tb 3.73

Calculated values
Space-group type = P4/mmm
Formation enthalpy at 0 K = 0.154 eV/atom
Density = 5943 kg/m³

=====

No. 3
Density functional theory data (PBE) for a geometry-optimized Mg4CoMo structure.

a = 5.3872 Å, b = 5.3872 Å, c = 5.3872 Å
α = 60.00°, β = 60.00°, γ = 60.00°
Last column: nearest neighbours and their distance in Å.
Fractional coordinates of all 6 atoms:
Mo 0.7500 0.7500 0.7500  12 Mg 3.16, 4 Co 3.30
Co 0.0000 0.0000 0.0000  12 Mg 3.16, 4 Mo 3.30
Mg 0.3749 0.3749 0.3749  6 Mg 2.69-2.70
Mg 0.3749 0.8753 0.3749  6 Mg 2.69-2.70
Mg 0.3749 0.3749 0.8753  6 Mg 2.69-2.70
Mg 0.8753 0.3749 0.3749  6 Mg 2.69-2.70

Calculated values
Space-group type = F-43m
Formation enthalpy at 0 K = 0.716 eV/atom
Density = 3786 kg/m³

=====

No. 4
Density functional theory data (PBE) for a geometry-optimized LaNd2Mg2 structure.

a = 4.8622 Å, b = 4.8622 Å, c = 14.5737 Å
α = 99.60°, β = 99.60°, γ = 90.00°
Last column: nearest neighbours and their distance in Å.
Fractional coordinates of all 10 atoms:
La 0.3691 0.3691 0.7383  4 Nd 3.68, 4 Mg 3.80
La 0.6309 0.6309 0.2617  4 Nd 3.68, 4 Mg 3.80
Nd 0.5000 0.0000 0.0000  4 Mg 3.20, 4 Nd 3.44
Nd 0.1770 0.1770 0.3540  5 Mg 2.93-3.19
Nd 0.0000 0.5000 0.0000  4 Mg 3.20, 4 Nd 3.44
Nd 0.8230 0.8230 0.6460  5 Mg 2.93-3.19
Mg 0.0736 0.0736 0.1472  5 Nd 2.93-3.20
Mg 0.2500 0.7500 0.5000  4 Nd 3.19, 4 Mg 3.44
Mg 0.9264 0.9264 0.8528  5 Nd 2.93-3.20
Mg 0.7500 0.2500 0.5000  4 Nd 3.19, 4 Mg 3.44

Calculated values
Space-group type = I4/mmm
Formation enthalpy at 0 K = 0.219 eV/atom
Density = 4721 kg/m³

=====

No. 5
Density functional theory data (PBE) for a geometry-optimized Zn2SiAg structure.

a = 2.7838 Å, b = 4.9419 Å, c = 4.7863 Å
α = 90.00°, β = 90.00°, γ = 90.00°
Last column: nearest neighbours and their distance in Å.
Fractional coordinates of all 4 atoms:
Ag 0.5000 0.0000 0.5000  4 Zn 2.77, 2 Ag 2.78, 4 Si 2.84
Si 0.0000 0.5000 0.5000  4 Zn 2.77, 2 Si 2.78, 4 Ag 2.84
Zn 0.5000 0.5000 0.0000  4 Si 2.77, 6 Zn 2.78-2.84
Zn 0.0000 0.0000 0.0000  4 Ag 2.77, 6 Zn 2.78-2.84

Calculated values
Space-group type = Pmmm
Formation energy without anion corrections = 0.230 eV/atom
Density = 6728 kg/m³

=====

No. 6
Density functional theory data (PBE) for a geometry-optimized TbBO3 structure.

a = 4.8987 Å, b = 4.8986 Å, c = 4.9901 Å
α = 93.51°, β = 93.51°, γ = 119.34°
Last column: nearest neighbours and their distance in Å.
Fractional coordinates of all 10 atoms:
B 0.9869 0.5101 0.4603  3 O 1.41-1.55
B 0.0417 0.4552 0.9603  3 O 1.41-1.55
Tb 0.3413 0.1604 0.3360  5 O 2.26-2.41
Tb 0.6921 0.8096 0.8360  5 O 2.26-2.41
O 0.3144 0.6240 0.4823  1 B 1.41
O 0.2781 0.3596 0.9472  1 B 1.45
O 0.1556 0.7827 0.9823  1 B 1.41
O 0.8374 0.2765 0.1844  2 B 1.55-1.61
O 0.8082 0.3058 0.6844  2 B 1.55-1.61
O 0.8912 0.7464 0.4472  1 B 1.45

Calculated values
Space-group type = Cc
Formation energy without anion corrections = -2.940 eV/atom
Density = 6979 kg/m³

=====

No. 7
Density functional theory data (PBE) for a geometry-optimized ZrTe2Rh structure.

a = 7.5005 Å, b = 7.5005 Å, c = 7.5005 Å
α = 32.55°, β = 32.55°, γ = 32.55°
Last column: nearest neighbours and their distance in Å.
Fractional coordinates of all 4 atoms:
Rh 0.7484 0.7484 0.7484  3 Te 2.57, 3 Zr 2.80
Te 0.0422 0.0422 0.0422  3 Rh 2.57
Te 0.2293 0.2293 0.2293  3 Zr 2.99
Zr 0.4802 0.4802 0.4802  3 Rh 2.80, 3 Te 2.99

Calculated values
Space-group type = R3m
Formation energy without anion corrections = -0.569 eV/atom
Density = 6869 kg/m³

=====

No. 8
Density functional theory data (PBE) for a geometry-optimized Ce2Th2Ga3 structure.

a = 4.2205 Å, b = 7.1871 Å, c = 6.8911 Å
α = 112.70°, β = 90.00°, γ = 107.07°
Last column: nearest neighbours and their distance in Å.
Fractional coordinates of all 7 atoms:
Ce 0.1098 0.2197 0.7848  6 Ga 3.07-3.28, 1 Th 3.07
Ce 0.8902 0.7803 0.2152  6 Ga 3.07-3.28, 1 Th 3.07
Th 0.8214 0.6428 0.7319  5 Ga 3.02-3.20, 1 Ce 3.07
Th 0.1786 0.3572 0.2681  5 Ga 3.02-3.20, 1 Ce 3.07
Ga 0.5000 0.0000 0.0000  2 Ga 2.79
Ga 0.4225 0.8451 0.5587  2 Ga 2.56-2.79
Ga 0.5775 0.1549 0.4413  2 Ga 2.56-2.79

Calculated values
Space-group type = C2/m
Formation enthalpy at 0 K = -0.313 eV/atom
Density = 8661 kg/m³

=====

Which value of density does entry 8 give?
8661 kg/m³

=====

What is the density in the seventh record?
6869 kg/m³

=====

Among the records above, which one has the lowest density?
Mg4CoMo